<1>
Mg2HgP2 after structural relaxation, computed with GGA-PBE.

Values from the calculation:
**Volume**: 188.7 Å³/cell

Lattice parameters (Å, degrees): 7.967 7.967 2.972 90.00 90.00 90.00
Sites, in units of the cell vectors:
Mg  0.143  0.357  0.000
Mg  0.357  0.857  0.000
Mg  0.643  0.143  0.000
Mg  0.857  0.643  0.000
Hg  0.000  0.000  0.500
Hg  0.500  0.500  0.500
P  0.156  0.656  0.500
P  0.344  0.156  0.500
P  0.656  0.844  0.500
P  0.844  0.344  0.500

---

<2>
Mg2HgP2 after structural relaxation, computed with GGA-PBE.

Values from the calculation:
**Volume**: 103.3 Å³/cell

Lattice parameters (Å, degrees): 5.726 5.726 5.726 131.44 131.44 71.11
Sites, in units of the cell vectors:
Mg  0.250  0.750  0.500
Mg  0.750  0.250  0.500
Hg  0.000  0.000  0.000
P  0.380  0.380  0.000
P  0.620  0.620  0.000

---

Which of them is the least stable? Correct choice: <1>.

---

<1>
MgPaHg4 after structural relaxation, computed with GGA-PBE.

Values from the calculation:
**Volume**: 144.0 Å³/cell

Lattice parameters (Å, degrees): 8.213 8.213 5.564 100.75 100.75 23.00
Sites, in units of the cell vectors:
Mg  0.000  0.000  0.000
Pa  0.168  0.168  0.602
Hg  0.339  0.339  0.048
Hg  0.495  0.495  0.495
Hg  0.660  0.660  0.096
Hg  0.834  0.834  0.547

---

<2>
MgPaHg4 after structural relaxation, computed with GGA-PBE.

Values from the calculation:
**Volume**: 141.0 Å³/cell

Lattice parameters (Å, degrees): 6.344 6.344 7.319 106.04 106.04 29.96
Sites, in units of the cell vectors:
Mg  0.000  0.000  0.000
Pa  0.000  0.000  0.500
Hg  0.331  0.331  0.682
Hg  0.339  0.339  0.153
Hg  0.661  0.661  0.847
Hg  0.669  0.669  0.318

---

Which of them is the least stable? Correct choice: <1>.

---

<1>
MgPaHg after structural relaxation, computed with GGA-PBE.

Values from the calculation:
**Volume**: 137.0 Å³/cell

Lattice parameters (Å, degrees): 14.405 14.405 14.405 167.64 167.64 17.52
Sites, in units of the cell vectors:
Mg  0.209  0.209  0.000
Mg  0.791  0.791  0.000
Pa  0.047  0.047  0.000
Pa  0.953  0.953  0.000
Hg  0.365  0.365  0.000
Hg  0.635  0.635  0.000

---

<2>
MgPaHg after structural relaxation, computed with GGA-PBE.

Values from the calculation:
**Volume**: 70.4 Å³/cell

Lattice parameters (Å, degrees): 5.076 5.076 3.157 90.00 90.00 120.00
Sites, in units of the cell vectors:
Mg  0.000  0.000  0.000
Pa  0.667  0.333  0.500
Hg  0.333  0.667  0.000

---

<3>
MgPaHg after structural relaxation, computed with GGA-PBE.

Values from the calculation:
**Volume**: 69.5 Å³/cell

Lattice parameters (Å, degrees): 7.273 7.273 7.273 154.83 154.83 35.90
Sites, in units of the cell vectors:
Mg  0.000  0.000  0.000
Pa  0.681  0.681  0.000
Hg  0.356  0.356  0.000

---

Which of them is the least stable? Correct choice: <1>.